Entry from Alexandria: a geometry-optimized CdIn2MoO structure (PBE with a Hubbard U).

Results
Calculated density: 6.00 Mg/m³
DFT total energy: -3.6892 eV/atom
Spin magnetization: 1.84 Bohr magnetons per cell
Symmetry: P4/mmm

Unit cell a=5.708 b=5.708 c=3.853 alpha=90.00 beta=90.00 gamma=90.00
Fractional coordinates of all 5 atoms:
Cd: 0.000 0.000 0.000
In: 0.000 0.500 0.500
In: 0.500 0.000 0.500
Mo: 0.500 0.500 0.500
O: 0.500 0.500 0.000